# Ho5Pd2Rh | Alexandria | PBE-GGA | optimized geometry
# E: -5.76 eV per atom
# Formation enthalpy at 0 K: -0.69 eV per atom
data_Ho5Pd2Rh
_chemical_formula_sum 'Ho10 Pd4 Rh2'
_symmetry_space_group_name_H-M 'P 1'
_symmetry_Int_Tables_number 1
_cell_length_a 8.9518
_cell_length_b 8.9518
_cell_length_c 8.9518
_cell_angle_alpha 132.50
_cell_angle_beta 132.50
_cell_angle_gamma 69.44
loop_
_symmetry_equiv_pos_as_xyz
'x,y,z'
loop_
_atom_site_label
_atom_site_type_symbol
_atom_site_fract_x
_atom_site_fract_y
_atom_site_fract_z
Ho1 Ho 0.0000 0.0000 0.0000
Ho2 Ho 0.0210 0.5210 0.8411
Ho3 Ho 0.1799 0.0210 0.5000
Ho4 Ho 0.3201 0.8201 0.8411
Ho5 Ho 0.4790 0.3201 0.5000
Ho6 Ho 0.5000 0.5000 0.0000
Ho7 Ho 0.5210 0.6799 0.5000
Ho8 Ho 0.6799 0.1799 0.1589
Ho9 Ho 0.8201 0.9790 0.5000
Ho10 Ho 0.9790 0.4790 0.1589
Pd1 Pd 0.1337 0.3663 0.5000
Pd2 Pd 0.3663 0.8663 0.2326
Pd3 Pd 0.6337 0.1337 0.7674
Pd4 Pd 0.8663 0.6337 0.5000
Rh1 Rh 0.2500 0.2500 0.0000
Rh2 Rh 0.7500 0.7500 0.0000